[1]
Below is a relaxed structure of Nb2Te3, with properties calculated at the PBE level.

```
Nb2Te3
1.0
3.395 -5.816 0.000
3.395 5.816 0.000
-2.430 0.000 6.606
Nb Te
4 6
direct
0.000 0.000 0.000
0.158 0.903 0.437
0.395 0.395 0.422
0.903 0.158 0.437
0.049 0.426 0.173
0.275 0.275 0.761
0.426 0.049 0.173
0.584 0.894 0.662
0.701 0.701 0.181
0.894 0.584 0.662
```

Results
uncorrected energy = -62.807 eV per cell
crystal system = monoclinic
size of the total moment = 0.001 μB per formula unit
mass density = 7.24 g cm⁻³

[2]
Below is a relaxed structure of NbTe, with properties calculated at the PBE level.

```
NbTe
1.0
0.000 3.182 3.182
3.182 0.000 3.182
3.182 3.182 0.000
Nb Te
1 1
direct
0.000 0.000 0.000
0.750 0.750 0.750
```

Results
uncorrected energy = -12.198 eV per cell
crystal system = cubic
size of the total moment = 2.188 μB per formula unit
mass density = 5.68 g cm⁻³